Entry 1:
# LiMg5In2

A relaxed structure of LiMg5In2 (GGA-PBE, Alexandria).

Calculated values
**Calculated density**: 3.4 g/cm³
**Distance to the lowest polymorph of the same formula**: 0 meV per atom
**Space-group type**: Pbam, No. 55
**Calculated formation energy**: -113 meV/atom
**Final energy**: -2.03 eV/atom

```
data_LiMg5In2
_cell_length_a 6.342
_cell_length_b 12.628
_cell_length_c 4.414
_cell_angle_alpha 90.00
_cell_angle_beta 90.00
_cell_angle_gamma 90.00
_space_group_name_H-M_alt 'P 1'
_space_group_IT_number 1
loop_
_space_group_symop_operation_xyz
'x,y,z'
loop_
_atom_site_label
_atom_site_fract_x
_atom_site_fract_y
_atom_site_fract_z
Li1 0.000 0.000 0.000
Li2 0.500 0.500 0.000
Mg1 0.000 0.500 0.000
Mg2 0.006 0.249 0.000
Mg3 0.242 0.878 0.500
Mg4 0.258 0.378 0.500
Mg5 0.494 0.749 0.000
Mg6 0.500 0.000 0.000
Mg7 0.506 0.251 0.000
Mg8 0.742 0.622 0.500
Mg9 0.758 0.122 0.500
Mg10 0.994 0.751 0.000
In1 0.250 0.125 0.500
In2 0.250 0.625 0.500
In3 0.750 0.375 0.500
In4 0.750 0.875 0.500
```

Entry 2:
# LiMg2In

A relaxed structure of LiMg2In (GGA-PBE, Alexandria).

Calculated values
**Calculated density**: 3.1 g/cm³
**Space-group type**: R3m, No. 160
**Calculated formation energy**: -53 meV/atom
**Final energy**: -2.01 eV/atom

```
data_LiMg2In
_cell_length_a 3.246
_cell_length_b 3.246
_cell_length_c 29.715
_cell_angle_alpha 90.00
_cell_angle_beta 90.00
_cell_angle_gamma 120.00
_space_group_name_H-M_alt 'P 1'
_space_group_IT_number 1
loop_
_space_group_symop_operation_xyz
'x,y,z'
loop_
_atom_site_label
_atom_site_fract_x
_atom_site_fract_y
_atom_site_fract_z
Li1 0.000 0.000 0.000
Li2 0.333 0.667 0.667
Li3 0.667 0.333 0.333
Mg1 0.000 0.000 0.254
Mg2 0.000 0.000 0.415
Mg3 0.333 0.667 0.081
Mg4 0.333 0.667 0.920
Mg5 0.667 0.333 0.587
Mg6 0.667 0.333 0.748
In1 0.000 0.000 0.834
In2 0.333 0.667 0.501
In3 0.667 0.333 0.167
```

Entry 3:
# Li5Mg3In2

A relaxed structure of Li5Mg3In2 (GGA-PBE, Alexandria).

Calculated values
**Calculated density**: 2.6 g/cm³
**Space-group type**: Ibam, No. 72
**Calculated formation energy**: -13 meV/atom
**Final energy**: -2.00 eV/atom

```
data_Li5Mg3In2
_cell_length_a 9.685
_cell_length_b 9.685
_cell_length_c 9.685
_cell_angle_alpha 117.34
_cell_angle_beta 72.56
_cell_angle_gamma 147.19
_space_group_name_H-M_alt 'P 1'
_space_group_IT_number 1
loop_
_space_group_symop_operation_xyz
'x,y,z'
loop_
_atom_site_label
_atom_site_fract_x
_atom_site_fract_y
_atom_site_fract_z
Li1 0.073 0.750 0.323
Li2 0.174 0.061 0.235
Li3 0.250 0.250 0.000
Li4 0.326 0.561 0.888
Li5 0.427 0.750 0.677
Li6 0.573 0.250 0.323
Li7 0.674 0.439 0.112
Li8 0.750 0.750 0.000
Li9 0.826 0.939 0.765
Li10 0.927 0.250 0.677
Mg1 0.184 0.775 0.960
Mg2 0.250 0.750 0.500
Mg3 0.316 0.275 0.591
Mg4 0.684 0.725 0.409
Mg5 0.750 0.250 0.500
Mg6 0.816 0.225 0.040
In1 0.065 0.259 0.324
In2 0.435 0.759 0.194
In3 0.565 0.241 0.806
In4 0.935 0.741 0.676
```

Entry 4:
# Li5Mg4In

A relaxed structure of Li5Mg4In (GGA-PBE, Alexandria).

Calculated values
**Calculated density**: 1.9 g/cm³
**Distance to the lowest polymorph of the same formula**: 93 meV per atom
**Space-group type**: I4mm, No. 107
**Calculated formation energy**: -7 meV/atom
**Final energy**: -1.88 eV/atom

```
data_Li5Mg4In
_cell_length_a 6.882
_cell_length_b 6.882
_cell_length_c 6.882
_cell_angle_alpha 98.16
_cell_angle_beta 98.16
_cell_angle_gamma 135.74
_space_group_name_H-M_alt 'P 1'
_space_group_IT_number 1
loop_
_space_group_symop_operation_xyz
'x,y,z'
loop_
_atom_site_label
_atom_site_fract_x
_atom_site_fract_y
_atom_site_fract_z
Li1 0.000 0.000 0.000
Li2 0.057 0.057 0.633
Li3 0.057 0.424 0.000
Li4 0.424 0.057 0.000
Li5 0.424 0.424 0.367
Mg1 0.061 0.737 0.325
Mg2 0.412 0.737 0.675
Mg3 0.737 0.061 0.325
Mg4 0.737 0.412 0.675
In1 0.522 0.522 0.000
```